Hg2OsPt | Alexandria | PBE-GGA | relaxed; energy of formation from the pure elements = 0.553 eV/atom; SG = No. 35; volume = 18.489 A^3/atom; polymorph energy (0 for the lowest one) = 2.00 kcal/mol of atoms
1.0
1.420 -2.552 0.000
1.420 2.552 0.000
0.000 0.000 10.204
Hg Os Pt
2 1 1
Direct
0.000 0.000 0.000
0.500 0.500 0.285
0.500 0.500 0.753
0.000 0.000 0.535